Record 1
Compound: K3P2Pt2
Source: Alexandria via LeMat-Bulk
Functional: PBE
Structure: optimized geometry

Output
As for the crystal system: orthorhombic. The calculation puts the density of states at the Fermi level at 8.3 states/eV/cell. For the energy relative to the elements, the calculation gives -2.8 eV per formula unit. Its mass density is 5.45 g/cm³.

The structure in CIF format:
```
data_K3P2Pt2
_chemical_formula_sum 'K12 P8 Pt8'
_space_group_name_H-M_alt 'P b c m'
_space_group_IT_number 57
_cell_length_a 6.391
_cell_length_b 7.974
_cell_length_c 13.628
_cell_angle_alpha 90.00
_cell_angle_beta 90.00
_cell_angle_gamma 90.00
loop_
_space_group_symop_operation_xyz
'x,y,z'
'-x,-y,-z'
'-x,-y,z+1/2'
'x,y,-z+1/2'
'x,-y+1/2,-z'
'-x,y+1/2,z'
'-x,y+1/2,-z+1/2'
'x,-y+1/2,z+1/2'
loop_
_atom_site_label
_atom_site_fract_x
_atom_site_fract_y
_atom_site_fract_z
K1 0.110 0.131 0.104
K2 0.279 0.679 0.750
P1 0.390 0.012 0.590
Pt1 0.281 0.044 0.750
Pt2 0.448 0.750 0.000
```

***

Record 2
Compound: ErScBeCd
Source: Alexandria via LeMat-Bulk
Functional: PBE
Structure: optimized geometry

Output
As for the crystal system: cubic. The calculation puts the density of states at the Fermi level at 12.8 states/eV/cell. For the energy relative to the elements, the calculation gives -0.2 eV per formula unit. Its mass density is 6.58 g/cm³.

The structure in CIF format:
```
data_ErScBeCd
_chemical_formula_sum 'Er4 Sc4 Be4 Cd4'
_space_group_name_H-M_alt 'F -4 3 m'
_space_group_IT_number 216
_space_group_name_Hall 'F -4 2 3'
_cell_length_a 6.957
_cell_length_b 6.957
_cell_length_c 6.957
_cell_angle_alpha 90.00
_cell_angle_beta 90.00
_cell_angle_gamma 90.00
loop_
_atom_site_label
_atom_site_fract_x
_atom_site_fract_y
_atom_site_fract_z
Er1 0.000 0.000 0.000
Sc1 0.000 0.000 0.500
Be1 0.250 0.250 0.250
Cd1 0.250 0.250 0.750
```

***

Record 3
Compound: Ba3NaGa2O6
Source: Alexandria via LeMat-Bulk
Functional: PBE
Structure: optimized geometry

Output
As for the crystal system: trigonal. The calculation puts the density of states at the Fermi level at 2.9 states/eV/cell. For the uncorrected formation energy, the calculation gives -1.981 eV per atom. Its mass density is 4.85 g/cm³.

The structure in CIF format:
```
data_Ba3NaGa2O6
_chemical_formula_sum 'Ba3 Na1 Ga2 O6'
_space_group_name_H-M_alt 'P -3 m 1'
_space_group_IT_number 164
_space_group_name_Hall '-P 3 2"'
_cell_length_a 6.1367
_cell_length_b 6.1367
_cell_length_c 7.0425
_cell_angle_alpha 90.00
_cell_angle_beta 90.00
_cell_angle_gamma 120.00
loop_
_atom_site_label
_atom_site_fract_x
_atom_site_fract_y
_atom_site_fract_z
Ba1 0.0000 0.0000 0.0000
Ba2 0.3333 0.6667 0.6478
Na1 0.0000 0.0000 0.5000
Ga1 0.3333 0.6667 0.2019
O1 0.1721 0.3441 0.2883
```

***

Record 4
Compound: TaSiHg2
Source: Alexandria via LeMat-Bulk
Functional: PBE
Structure: optimized geometry

Output
As for the crystal system: orthorhombic. The calculation puts the density of states at the Fermi level at 4.6 states/eV/cell. For the uncorrected formation energy, the calculation gives 0.303 eV per atom. Its mass density is 12.41 g/cm³.

The structure in CIF format:
```
data_TaSiHg2
_chemical_formula_sum 'Ta2 Si2 Hg4'
_space_group_name_H-M_alt 'C m m 2'
_space_group_IT_number 35
_cell_length_a 3.634
_cell_length_b 4.659
_cell_length_c 9.646
_cell_angle_alpha 90.00
_cell_angle_beta 90.00
_cell_angle_gamma 90.00
loop_
_space_group_symop_operation_xyz
'x,y,z'
'-x,-y,z'
'-x,y,z'
'x,-y,z'
'x+1/2,y+1/2,z'
'-x+1/2,-y+1/2,z'
'-x+1/2,y+1/2,z'
'x+1/2,-y+1/2,z'
loop_
_atom_site_label
_atom_site_fract_x
_atom_site_fract_y
_atom_site_fract_z
Ta1 0.000 0.000 0.000
Si1 0.000 0.500 0.193
Hg1 0.000 0.000 0.459
Hg2 0.000 0.500 0.759
```

***

Record 5
Compound: Mg2AgSb
Source: Alexandria via LeMat-Bulk
Functional: PBE
Structure: optimized geometry

Output
As for the crystal system: trigonal. The calculation puts the density of states at the Fermi level at 4.9 states/eV/cell. Its energy relative to the lowest polymorph listed for this composition is 0.095 eV/atom. For the uncorrected formation energy, the calculation gives -0.097 eV per atom. Its mass density is 5.23 g/cm³.

The structure in CIF format:
```
data_Mg2AgSb
_chemical_formula_sum 'Mg6 Ag3 Sb3'
_space_group_name_H-M_alt 'R -3 m'
_space_group_IT_number 166
_space_group_name_Hall '-R 3 2"'
_cell_length_a 3.3312
_cell_length_b 3.3312
_cell_length_c 27.5894
_cell_angle_alpha 90.00
_cell_angle_beta 90.00
_cell_angle_gamma 120.00
loop_
_atom_site_label
_atom_site_fract_x
_atom_site_fract_y
_atom_site_fract_z
Mg1 0.0000 0.0000 0.2439
Ag1 0.0000 0.0000 0.5000
Sb1 0.0000 0.0000 0.0000
```

***

Record 6
Compound: U2Be16H
Source: Alexandria via LeMat-Bulk
Functional: PBE
Structure: optimized geometry

Output
As for the crystal system: trigonal. The calculation puts the density of states at the Fermi level at 34.1 states/eV/cell. Its mass density is 5.52 g/cm³.

The structure in CIF format:
```
data_U2Be16H
_chemical_formula_sum 'U6 Be48 H3'
_space_group_name_H-M_alt 'R 3 m'
_space_group_IT_number 160
_space_group_name_Hall 'R 3 -2"'
_cell_length_a 7.7610
_cell_length_b 7.7610
_cell_length_c 10.7464
_cell_angle_alpha 90.00
_cell_angle_beta 90.00
_cell_angle_gamma 120.00
loop_
_atom_site_label
_atom_site_fract_x
_atom_site_fract_y
_atom_site_fract_z
U1 0.0000 0.0000 0.0000
U2 0.0000 0.0000 0.2568
Be1 0.0000 0.0000 0.5285
Be2 0.0004 0.2832 0.6253
Be3 0.0096 0.5048 0.1251
Be4 0.0324 0.5162 0.4728
Be5 0.1783 0.3567 0.1145
H1 0.0000 0.0000 0.8073
```

***

| no. | uncorrected energy (eV/cell) | total magnetization (μB/f.u.) |
| --- | --- | --- |
| 1 | -116.0 | 0.00 |
| 2 | -63.0 | 0.00 |
| 3 | -66.7 | 0.00 |
| 4 | -33.3 | 0.00 |
| 5 | -31.7 | 0.00 |
| 6 | -250.3 | 2.03 |